# LiFeSi4O10

A relaxed LiFeSi4O10 crystal (PBE with a Hubbard U, the Alexandria database).

**Density of states at the Fermi level**: 0.00 states/eV per cell
**Total moment**: 9.851 Bohr magnetons per cell
**Energy above the most stable polymorph in this dataset**: 0 meV/atom

Cell and atoms, written as extended XYZ:
```
32
Lattice="5.285 0.000 0.000 0.000 7.855 0.005 0.000 4.680 11.172" Properties=species:S:1:pos:R:3 pbc="T T T"
Li 1.330 7.438 8.382
Li 3.954 5.097 2.796
Fe 3.973 7.438 8.382
Fe 1.311 5.097 2.796
Si 2.558 8.576 5.593
Si 0.079 4.651 7.235
Si 0.079 10.224 9.528
Si 2.558 6.299 11.170
Si 2.726 6.236 0.007
Si 5.205 2.311 1.649
Si 5.205 7.884 3.942
Si 2.726 3.959 5.584
O 2.642 2.340 5.586
O 2.713 7.999 7.106
O 5.234 6.134 7.892
O 4.196 4.422 6.120
O 1.554 4.558 6.546
O 5.234 8.741 8.872
O 2.713 6.876 9.657
O 5.215 3.510 8.379
O 1.554 10.318 10.217
O 1.089 2.082 0.534
O 4.196 10.453 10.643
O 3.731 2.218 0.960
O 2.642 0.000 0.000
O 0.069 1.170 2.793
O 2.572 5.659 1.520
O 0.050 3.794 2.305
O 3.731 7.977 4.631
O 1.089 8.113 5.057
O 0.050 6.401 3.286
O 2.572 4.536 4.071
```